# FeSi29Ge2 GGA-PBE relaxed
data_FeSi29Ge2
_cell_length_a 8.6383
_cell_length_b 9.4594
_cell_length_c 9.4639
_cell_angle_alpha 70.54
_cell_angle_beta 68.57
_cell_angle_gamma 68.61
_space_group_name_H-M_alt 'P 1'
_space_group_IT_number 1
_space_group_name_Hall 'P 1'
loop_
_atom_site_label
_atom_site_fract_x
_atom_site_fract_y
_atom_site_fract_z
Fe1 0.5043 0.8718 0.6217
Ge1 0.2593 0.0552 0.5643
Ge2 0.5009 0.8742 0.8656
Si1 0.9981 0.9996 0.0021
Si2 0.2491 0.5614 0.0631
Si3 0.2461 0.8108 0.0640
Si4 0.4999 0.1252 0.1242
Si5 0.4997 0.3753 0.1256
Si6 0.7499 0.6878 0.1875
Si7 0.7475 0.9373 0.1899
Si8 0.9984 0.2491 0.2507
Si9 0.9993 0.4990 0.2510
Si10 0.2504 0.0617 0.3085
Si11 0.2493 0.8122 0.3120
Si12 0.5001 0.6271 0.3753
Si13 0.5010 0.3762 0.3754
Si14 0.7484 0.1855 0.4388
Si15 0.7406 0.9340 0.4449
Si16 0.0006 0.5001 0.5002
Si17 0.9982 0.7504 0.5008
Si18 0.2518 0.3153 0.5626
Si19 0.5020 0.6345 0.6237
Si20 0.7503 0.1896 0.6862
Si21 0.7504 0.4397 0.6868
Si22 0.0004 0.7493 0.7502
Si23 0.9966 0.9986 0.7535
Si24 0.2519 0.5656 0.8112
Si25 0.2501 0.3153 0.8122
Si26 0.5004 0.1291 0.8728
Si27 0.7503 0.4360 0.9377
Si28 0.7542 0.6835 0.9378
Si29 0.0006 0.2496 0.9998
# electronic total energy: -5.401 eV/atom
# space group: P1 (1)